Entry A
# NdSm2Ho7

A relaxed NdSm2Ho7 crystal (GGA-PBE, Alexandria via LeMat-Bulk).

a b c (Å): 6.1619 7.9585 7.9523
angles (deg): 90.00 104.89 121.10
Last column: nearest neighbours and their distance in Å.
Fractional coordinates of all 10 atoms:
Nd: 0.0000 0.0000 0.0000  10 Ho 3.55-3.56, 2 Sm 3.56
Sm: 0.4996 0.6998 0.6001  10 Ho 3.55-3.57, 1 Sm 3.56, 1 Nd 3.56
Sm: 0.5004 0.3002 0.3999  10 Ho 3.55-3.57, 1 Sm 3.56, 1 Nd 3.56
Ho: 0.9998 0.7995 0.3998  7 Ho 3.55-3.57, 4 Sm 3.55-3.56, 1 Nd 3.56
Ho: 0.0001 0.2005 0.6002  7 Ho 3.55-3.57, 4 Sm 3.55-3.56, 1 Nd 3.56
Ho: 0.0005 0.5995 0.8002  8 Ho 3.55-3.56, 3 Sm 3.55-3.57, 1 Nd 3.56
Ho: 0.9995 0.4005 0.1998  8 Ho 3.55-3.56, 3 Sm 3.55-3.57, 1 Nd 3.56
Ho: 0.5000 0.8996 0.1997  2 Nd 3.55-3.56, 8 Ho 3.55-3.56, 2 Sm 3.56
Ho: 0.5000 0.1004 0.8003  2 Nd 3.55-3.56, 8 Ho 3.55-3.56, 2 Sm 3.56
Ho: 0.5000 0.5000 0.0000  8 Ho 3.55-3.56, 2 Sm 3.56, 2 Nd 3.56

## Properties
Its crystal system is triclinic. The space group is P-1.

=====

Entry B
# NdSm2Ho7

A relaxed NdSm2Ho7 crystal (GGA-PBE, Alexandria via LeMat-Bulk).

a b c (Å): 5.1631 9.7089 9.7089
angles (deg): 127.36 90.00 90.00
Last column: nearest neighbours and their distance in Å.
Fractional coordinates of all 10 atoms:
Nd: 0.0000 0.0000 0.0000  10 Ho 3.43-3.55
Sm: 0.5000 0.7013 0.2987  4 Ho 3.13-3.19
Sm: 0.5000 0.2987 0.7013  4 Ho 3.13-3.19
Ho: 0.0000 0.8027 0.1973  2 Sm 3.13, 4 Ho 3.38, 1 Nd 3.43
Ho: 0.0000 0.1973 0.8027  2 Sm 3.13, 4 Ho 3.38, 1 Nd 3.43
Ho: 0.5000 0.0716 0.2886  4 Ho 3.10-3.38, 1 Sm 3.19
Ho: 0.5000 0.9284 0.7114  4 Ho 3.10-3.38, 1 Sm 3.19
Ho: 0.5000 0.2886 0.0716  4 Ho 3.10-3.38, 1 Sm 3.19
Ho: 0.5000 0.7114 0.9284  4 Ho 3.10-3.38, 1 Sm 3.19
Ho: 0.5000 0.5000 0.5000  4 Ho 3.34, 2 Sm 3.50

## Properties
Its crystal system is orthorhombic. The space group is Cmmm.

=====

entry A has the most favorable energy; the next structure is 676 meV per atom above.

=====

Entry A
# Nd3Sm6Ho

A relaxed Nd3Sm6Ho crystal (GGA-PBE, Alexandria via LeMat-Bulk).

a b c (Å): 6.9867 13.1177 6.7617
angles (deg): 129.87 121.11 90.00
Last column: nearest neighbours and their distance in Å.
Fractional coordinates of all 10 atoms:
Nd: 0.8054 0.3394 0.6108  1 Nd 3.10, 3 Sm 3.23-3.34
Nd: 0.1946 0.6606 0.3892  1 Nd 3.10, 3 Sm 3.23-3.34
Nd: 0.0000 0.0000 0.0000  10 Sm 3.91-3.98
Sm: 0.2873 0.3131 0.1140  4 Sm 3.22-3.45, 2 Nd 3.23-3.56, 1 Ho 3.52
Sm: 0.1732 0.6869 0.8860  4 Sm 3.22-3.45, 2 Nd 3.23-3.56, 1 Ho 3.52
Sm: 0.7127 0.6869 0.8860  4 Sm 3.22-3.45, 2 Nd 3.23-3.56, 1 Ho 3.52
Sm: 0.8268 0.3131 0.1140  4 Sm 3.22-3.45, 2 Nd 3.23-3.56, 1 Ho 3.52
Sm: 0.3316 0.9932 0.6632  2 Nd 3.34-3.66, 4 Sm 3.40-3.45
Sm: 0.6684 0.0068 0.3368  2 Nd 3.34-3.66, 4 Sm 3.40-3.45
Ho: 0.5000 0.5000 0.0000  4 Sm 3.52, 4 Nd 3.82

## Properties
Its crystal system is monoclinic. The space group is C2/m.

=====

Entry B
# Nd3Sm6Ho

A relaxed Nd3Sm6Ho crystal (GGA-PBE, Alexandria via LeMat-Bulk).

a b c (Å): 6.4751 11.0779 11.0779
angles (deg): 120.53 90.00 90.00
Last column: nearest neighbours and their distance in Å.
Fractional coordinates of all 20 atoms:
Nd: 0.4636 0.9409 0.7094  1 Ho 3.29, 6 Sm 3.33-3.57, 1 Nd 3.65
Nd: 0.9636 0.7094 0.9409  1 Ho 3.29, 6 Sm 3.33-3.57, 1 Nd 3.65
Nd: 0.0778 0.3858 0.6142  7 Sm 3.49-3.87, 2 Nd 3.65, 1 Ho 3.74
Nd: 0.5778 0.6142 0.3858  7 Sm 3.49-3.87, 2 Nd 3.65, 1 Ho 3.74
Nd: 0.9636 0.0591 0.2906  1 Ho 3.29, 6 Sm 3.33-3.57, 1 Nd 3.65
Nd: 0.4636 0.2906 0.0591  1 Ho 3.29, 6 Sm 3.33-3.57, 1 Nd 3.65
Sm: 0.0561 0.7133 0.6268  3 Nd 3.44-3.56, 5 Sm 3.49-3.84
Sm: 0.5561 0.6268 0.7133  3 Nd 3.44-3.56, 5 Sm 3.49-3.84
Sm: 0.3681 0.5253 0.9434  3 Sm 3.18-3.49, 2 Nd 3.33-3.49, 1 Ho 3.35
Sm: 0.8681 0.9434 0.5253  3 Sm 3.18-3.49, 2 Nd 3.33-3.49, 1 Ho 3.35
Sm: 0.3630 0.9644 0.0356  1 Ho 3.43, 4 Sm 3.52-3.84, 4 Nd 3.55-3.57
Sm: 0.6511 0.2748 0.7252  4 Sm 3.18-3.48, 1 Ho 3.42, 1 Nd 3.49
Sm: 0.1511 0.7252 0.2748  4 Sm 3.18-3.48, 1 Ho 3.42, 1 Nd 3.49
Sm: 0.8630 0.0356 0.9644  1 Ho 3.43, 4 Sm 3.52-3.84, 4 Nd 3.55-3.57
Sm: 0.3681 0.0566 0.4747  3 Sm 3.18-3.49, 2 Nd 3.33-3.49, 1 Ho 3.35
Sm: 0.8681 0.4747 0.0566  3 Sm 3.18-3.49, 2 Nd 3.33-3.49, 1 Ho 3.35
Sm: 0.0561 0.3732 0.2867  3 Nd 3.44-3.56, 5 Sm 3.49-3.84
Sm: 0.5561 0.2867 0.3732  3 Nd 3.44-3.56, 5 Sm 3.49-3.84
Ho: 0.1180 0.1917 0.8083  2 Nd 3.29, 6 Sm 3.35-3.59
Ho: 0.6180 0.8083 0.1917  2 Nd 3.29, 6 Sm 3.35-3.59

## Properties
Its crystal system is orthorhombic. The space group is Cmc2_1.

=====

entry B has the most favorable energy; the next structure is 122 meV per atom above.